# Rb3CaAl | Alexandria via LeMat-Bulk | PBE | optimized geometry
data_Rb3CaAl
_cell_length_a 7.019
_cell_length_b 7.019
_cell_length_c 7.019
_cell_angle_alpha 90.00
_cell_angle_beta 90.00
_cell_angle_gamma 90.00
_symmetry_space_group_name_H-M 'P 1'
_symmetry_Int_Tables_number 1
_symmetry_space_group_name_Hall 'P 1'
loop_
_atom_site_label
_atom_site_fract_x
_atom_site_fract_y
_atom_site_fract_z
Rb1 0.000 0.000 0.500
Rb2 0.000 0.500 0.000
Ca1 0.500 0.500 0.500
Rb3 0.500 0.000 0.000
Al1 0.000 0.000 0.000
# DFT total energy: -1.2406 eV per atom

=====

# RbCa3Al | Alexandria via LeMat-Bulk | PBE | optimized geometry
data_RbCa3Al
_cell_length_a 5.945
_cell_length_b 5.945
_cell_length_c 5.945
_cell_angle_alpha 90.00
_cell_angle_beta 90.00
_cell_angle_gamma 90.00
_symmetry_space_group_name_H-M 'P 1'
_symmetry_Int_Tables_number 1
_symmetry_space_group_name_Hall 'P 1'
loop_
_atom_site_label
_atom_site_fract_x
_atom_site_fract_y
_atom_site_fract_z
Rb1 0.000 0.000 0.000
Ca1 0.000 0.500 0.000
Al1 0.500 0.500 0.500
Ca2 0.000 0.000 0.500
Ca3 0.500 0.000 0.000
# DFT total energy: -0.9371 eV per atom

=====

# RbCaAl3 | Alexandria via LeMat-Bulk | PBE | optimized geometry
data_RbCaAl3
_cell_length_a 5.737
_cell_length_b 5.737
_cell_length_c 5.737
_cell_angle_alpha 90.00
_cell_angle_beta 90.00
_cell_angle_gamma 90.00
_symmetry_space_group_name_H-M 'P 1'
_symmetry_Int_Tables_number 1
_symmetry_space_group_name_Hall 'P 1'
loop_
_atom_site_label
_atom_site_fract_x
_atom_site_fract_y
_atom_site_fract_z
Al1 0.500 0.000 0.000
Al2 0.000 0.000 0.500
Ca1 0.500 0.500 0.500
Rb1 0.000 0.000 0.000
Al3 0.000 0.500 0.000
# DFT total energy: -1.5693 eV per atom

=====

# RbCaAl3 | Alexandria via LeMat-Bulk | PBE | optimized geometry
data_RbCaAl3
_cell_length_a 5.864
_cell_length_b 5.864
_cell_length_c 5.864
_cell_angle_alpha 90.00
_cell_angle_beta 90.00
_cell_angle_gamma 90.00
_symmetry_space_group_name_H-M 'P 1'
_symmetry_Int_Tables_number 1
_symmetry_space_group_name_Hall 'P 1'
loop_
_atom_site_label
_atom_site_fract_x
_atom_site_fract_y
_atom_site_fract_z
Al1 0.500 0.000 0.000
Ca1 0.000 0.000 0.000
Al2 0.000 0.500 0.000
Rb1 0.500 0.500 0.500
Al3 0.000 0.000 0.500
# DFT total energy: -2.0427 eV per atom

=====

# RbCa3Al | Alexandria via LeMat-Bulk | PBE | optimized geometry
data_RbCa3Al
_cell_length_a 6.124
_cell_length_b 6.124
_cell_length_c 6.124
_cell_angle_alpha 90.00
_cell_angle_beta 90.00
_cell_angle_gamma 90.00
_symmetry_space_group_name_H-M 'P 1'
_symmetry_Int_Tables_number 1
_symmetry_space_group_name_Hall 'P 1'
loop_
_atom_site_label
_atom_site_fract_x
_atom_site_fract_y
_atom_site_fract_z
Rb1 0.500 0.500 0.500
Ca1 0.500 0.000 0.000
Al1 0.000 0.000 0.000
Ca2 0.000 0.500 0.000
Ca3 0.000 0.000 0.500
# DFT total energy: -2.0423 eV per atom

=====

# Rb2CaAl | Alexandria via LeMat-Bulk | PBE | optimized geometry
data_Rb2CaAl
_cell_length_a 12.958
_cell_length_b 12.958
_cell_length_c 9.663
_cell_angle_alpha 47.90
_cell_angle_beta 47.90
_cell_angle_gamma 90.00
_symmetry_space_group_name_H-M 'P 1'
_symmetry_Int_Tables_number 1
_symmetry_space_group_name_Hall 'P 1'
loop_
_atom_site_label
_atom_site_fract_x
_atom_site_fract_y
_atom_site_fract_z
Rb1 0.375 0.508 0.750
Al1 0.250 0.750 0.500
Ca1 0.750 0.250 0.500
Al2 0.500 0.500 0.000
Rb2 0.258 0.625 0.250
Rb3 0.492 0.125 0.250
Ca2 0.000 0.000 0.000
Rb4 0.875 0.742 0.750
# DFT total energy: -1.5251 eV per atom

=====

# Rb2Ca2Al | Alexandria via LeMat-Bulk | PBE | optimized geometry
data_Rb2Ca2Al
_cell_length_a 8.352
_cell_length_b 8.352
_cell_length_c 7.237
_cell_angle_alpha 90.00
_cell_angle_beta 90.00
_cell_angle_gamma 90.00
_symmetry_space_group_name_H-M 'P 1'
_symmetry_Int_Tables_number 1
_symmetry_space_group_name_Hall 'P 1'
loop_
_atom_site_label
_atom_site_fract_x
_atom_site_fract_y
_atom_site_fract_z
Ca1 0.168 0.668 0.000
Rb1 0.184 0.316 0.500
Ca2 0.332 0.168 0.000
Al1 0.500 0.500 0.000
Rb2 0.816 0.684 0.500
Rb3 0.316 0.816 0.500
Rb4 0.684 0.184 0.500
Ca3 0.668 0.832 0.000
Ca4 0.832 0.332 0.000
Al2 0.000 0.000 0.000
# DFT total energy: -1.7042 eV per atom

=====

# RbCaAl4 | Alexandria via LeMat-Bulk | PBE | optimized geometry
data_RbCaAl4
_cell_length_a 5.877
_cell_length_b 5.877
_cell_length_c 5.877
_cell_angle_alpha 60.00
_cell_angle_beta 60.00
_cell_angle_gamma 60.00
_symmetry_space_group_name_H-M 'P 1'
_symmetry_Int_Tables_number 1
_symmetry_space_group_name_Hall 'P 1'
loop_
_atom_site_label
_atom_site_fract_x
_atom_site_fract_y
_atom_site_fract_z
Rb1 0.250 0.250 0.250
Al1 0.626 0.123 0.626
Al2 0.123 0.626 0.626
Al3 0.626 0.626 0.626
Al4 0.626 0.626 0.123
Ca1 0.000 0.000 0.000
# DFT total energy: -2.9701 eV per atom

=====

# RbCa2Al2 | Alexandria via LeMat-Bulk | PBE | optimized geometry
data_RbCa2Al2
_cell_length_a 9.149
_cell_length_b 9.149
_cell_length_c 3.895
_cell_angle_alpha 90.00
_cell_angle_beta 90.00
_cell_angle_gamma 90.00
_symmetry_space_group_name_H-M 'P 1'
_symmetry_Int_Tables_number 1
_symmetry_space_group_name_Hall 'P 1'
loop_
_atom_site_label
_atom_site_fract_x
_atom_site_fract_y
_atom_site_fract_z
Al1 0.394 0.894 0.000
Al2 0.106 0.394 0.000
Ca1 0.177 0.677 0.500
Al3 0.894 0.606 0.000
Rb1 0.500 0.500 0.000
Ca2 0.823 0.323 0.500
Rb2 0.000 0.000 0.000
Ca3 0.323 0.177 0.500
Al4 0.606 0.106 0.000
Ca4 0.677 0.823 0.500
# DFT total energy: -2.4406 eV per atom

=====

# RbCa2Al2 | Alexandria via LeMat-Bulk | PBE | optimized geometry
data_RbCa2Al2
_cell_length_a 5.747
_cell_length_b 5.747
_cell_length_c 6.807
_cell_angle_alpha 65.03
_cell_angle_beta 65.03
_cell_angle_gamma 90.00
_symmetry_space_group_name_H-M 'P 1'
_symmetry_Int_Tables_number 1
_symmetry_space_group_name_Hall 'P 1'
loop_
_atom_site_label
_atom_site_fract_x
_atom_site_fract_y
_atom_site_fract_z
Al1 0.615 0.615 0.769
Ca1 0.750 0.250 0.500
Al2 0.385 0.385 0.231
Rb1 0.000 0.000 0.000
Ca2 0.250 0.750 0.500
# DFT total energy: -2.3922 eV per atom

=====

# RbCa2AlRh | Alexandria via LeMat-Bulk | PBE | optimized geometry
data_RbCa2AlRh
_cell_length_a 5.661
_cell_length_b 5.661
_cell_length_c 4.954
_cell_angle_alpha 90.00
_cell_angle_beta 90.00
_cell_angle_gamma 90.00
_symmetry_space_group_name_H-M 'P 1'
_symmetry_Int_Tables_number 1
_symmetry_space_group_name_Hall 'P 1'
loop_
_atom_site_label
_atom_site_fract_x
_atom_site_fract_y
_atom_site_fract_z
Al1 0.000 0.000 0.500
Rh1 0.000 0.000 0.000
Rb1 0.500 0.500 0.500
Ca1 0.000 0.500 0.000
Ca2 0.500 0.000 0.000
# DFT total energy: -3.3905 eV per atom

=====

# RbCa2AlRu | Alexandria via LeMat-Bulk | PBE | optimized geometry
data_RbCa2AlRu
_cell_length_a 5.899
_cell_length_b 4.727
_cell_length_c 5.899
_cell_angle_alpha 90.00
_cell_angle_beta 90.00
_cell_angle_gamma 90.00
_symmetry_space_group_name_H-M 'P 1'
_symmetry_Int_Tables_number 1
_symmetry_space_group_name_Hall 'P 1'
loop_
_atom_site_label
_atom_site_fract_x
_atom_site_fract_y
_atom_site_fract_z
Al1 0.000 0.000 0.000
Ca1 0.500 0.000 0.000
Ca2 0.000 0.000 0.500
Rb1 0.500 0.500 0.500
Ru1 0.000 0.500 0.000
# DFT total energy: -3.1508 eV per atom

=====

# RbCa2AlS | Alexandria via LeMat-Bulk | PBE | optimized geometry
data_RbCa2AlS
_cell_length_a 5.911
_cell_length_b 5.396
_cell_length_c 5.911
_cell_angle_alpha 90.00
_cell_angle_beta 90.00
_cell_angle_gamma 90.00
_symmetry_space_group_name_H-M 'P 1'
_symmetry_Int_Tables_number 1
_symmetry_space_group_name_Hall 'P 1'
loop_
_atom_site_label
_atom_site_fract_x
_atom_site_fract_y
_atom_site_fract_z
Al1 0.000 0.000 0.000
S1 0.000 0.500 0.000
Ca1 0.000 0.000 0.500
Ca2 0.500 0.000 0.000
Rb1 0.500 0.500 0.500
# DFT total energy: -2.5359 eV per atom
# formation energy from raw total energies: 0.03 eV/atom

=====

# RbCaAlTe3 | Alexandria via LeMat-Bulk | PBE | optimized geometry
data_RbCaAlTe3
_cell_length_a 4.460
_cell_length_b 11.269
_cell_length_c 9.349
_cell_angle_alpha 101.41
_cell_angle_beta 90.00
_cell_angle_gamma 101.41
_symmetry_space_group_name_H-M 'P 1'
_symmetry_Int_Tables_number 1
_symmetry_space_group_name_Hall 'P 1'
loop_
_atom_site_label
_atom_site_fract_x
_atom_site_fract_y
_atom_site_fract_z
Rb1 0.346 0.693 0.042
Te1 0.777 0.553 0.729
Te2 0.223 0.447 0.271
Te3 0.461 0.922 0.792
Te4 0.539 0.078 0.208
Al1 0.020 0.040 0.352
Rb2 0.654 0.307 0.958
Te5 0.903 0.807 0.389
Al2 0.980 0.960 0.648
Te6 0.097 0.193 0.611
Ca1 0.672 0.344 0.444
Ca2 0.328 0.656 0.556
# DFT total energy: -3.6808 eV per atom
# formation energy from raw total energies: -0.99 eV/atom

=====

# RbCaAlZn2 | Alexandria via LeMat-Bulk | PBE | optimized geometry
data_RbCaAlZn2
_cell_length_a 5.192
_cell_length_b 5.812
_cell_length_c 5.192
_cell_angle_alpha 90.00
_cell_angle_beta 90.00
_cell_angle_gamma 90.00
_symmetry_space_group_name_H-M 'P 1'
_symmetry_Int_Tables_number 1
_symmetry_space_group_name_Hall 'P 1'
loop_
_atom_site_label
_atom_site_fract_x
_atom_site_fract_y
_atom_site_fract_z
Al1 0.000 0.000 0.000
Rb1 0.500 0.500 0.500
Zn1 0.000 0.000 0.500
Zn2 0.500 0.000 0.000
Ca1 0.000 0.500 0.000
# DFT total energy: -1.5921 eV per atom

=====

# CaAlRe2 | Alexandria via LeMat-Bulk | PBE | optimized geometry
data_CaAlRe2
_cell_length_a 9.555
_cell_length_b 9.555
_cell_length_c 9.555
_cell_angle_alpha 17.32
_cell_angle_beta 17.32
_cell_angle_gamma 17.32
_symmetry_space_group_name_H-M 'P 1'
_symmetry_Int_Tables_number 1
_symmetry_space_group_name_Hall 'P 1'
loop_
_atom_site_label
_atom_site_fract_x
_atom_site_fract_y
_atom_site_fract_z
Al1 0.250 0.250 0.250
Re1 0.509 0.509 0.509
Re2 0.991 0.991 0.991
Ca1 0.750 0.750 0.750
# DFT total energy: -7.1685 eV per atom

=====

# CaAlRe | Alexandria via LeMat-Bulk | PBE | optimized geometry
data_CaAlRe
_cell_length_a 4.717
_cell_length_b 4.717
_cell_length_c 4.717
_cell_angle_alpha 60.00
_cell_angle_beta 60.00
_cell_angle_gamma 60.00
_symmetry_space_group_name_H-M 'P 1'
_symmetry_Int_Tables_number 1
_symmetry_space_group_name_Hall 'P 1'
loop_
_atom_site_label
_atom_site_fract_x
_atom_site_fract_y
_atom_site_fract_z
Ca1 0.750 0.750 0.750
Al1 0.500 0.500 0.500
Re1 0.000 0.000 0.000
# DFT total energy: -4.4252 eV per atom

=====

# CaAlRe2 | Alexandria via LeMat-Bulk | PBE | optimized geometry
data_CaAlRe2
_cell_length_a 4.195
_cell_length_b 2.806
_cell_length_c 6.656
_cell_angle_alpha 74.70
_cell_angle_beta 90.00
_cell_angle_gamma 90.00
_symmetry_space_group_name_H-M 'P 1'
_symmetry_Int_Tables_number 1
_symmetry_space_group_name_Hall 'P 1'
loop_
_atom_site_label
_atom_site_fract_x
_atom_site_fract_y
_atom_site_fract_z
Re1 0.000 0.034 0.067
Ca1 0.500 0.771 0.753
Re2 0.500 0.208 0.235
Al1 0.000 0.486 0.445
# DFT total energy: -7.3773 eV per atom

=====

# CaAlRe2 | Alexandria via LeMat-Bulk | PBE | optimized geometry
data_CaAlRe2
_cell_length_a 5.869
_cell_length_b 5.869
_cell_length_c 5.869
_cell_angle_alpha 153.17
_cell_angle_beta 129.85
_cell_angle_gamma 57.78
_symmetry_space_group_name_H-M 'P 1'
_symmetry_Int_Tables_number 1
_symmetry_space_group_name_Hall 'P 1'
loop_
_atom_site_label
_atom_site_fract_x
_atom_site_fract_y
_atom_site_fract_z
Re1 0.537 0.537 0.000
Al1 0.750 0.250 0.500
Re2 0.963 0.963 0.000
Ca1 0.250 0.750 0.500
# DFT total energy: -7.2022 eV per atom

=====

# CaAlRe2 | Alexandria via LeMat-Bulk | PBE | optimized geometry
data_CaAlRe2
_cell_length_a 5.317
_cell_length_b 5.317
_cell_length_c 5.317
_cell_angle_alpha 136.91
_cell_angle_beta 136.91
_cell_angle_gamma 62.58
_symmetry_space_group_name_H-M 'P 1'
_symmetry_Int_Tables_number 1
_symmetry_space_group_name_Hall 'P 1'
loop_
_atom_site_label
_atom_site_fract_x
_atom_site_fract_y
_atom_site_fract_z
Ca1 0.750 0.250 0.500
Re1 0.500 0.500 0.000
Re2 0.000 0.000 0.000
Al1 0.250 0.750 0.500
# DFT total energy: -7.0487 eV per atom